[1]
Below is crystalline Sc5Ti at its relaxed geometry, with properties calculated at the GGA-PBE level.

Geometry as POSCAR:
```
Sc5Ti
1.0
2.262 -6.747 0.000
2.262 6.747 0.000
0.000 0.000 4.534
Sc Ti
5 1
direct
0.000 0.000 0.000
0.159 0.841 0.500
0.340 0.660 0.000
0.660 0.340 0.000
0.841 0.159 0.500
0.500 0.500 0.500
```

Space-group type: Cmmm (65)
Formation enthalpy at 0 K in eV/atom: 0.09

[2]
Below is crystalline CeDy2Hf3N6 at its relaxed geometry, with properties calculated at the GGA-PBE level.

Geometry as POSCAR:
```
CeDy2Hf3N6
1.0
7.328 -1.656 0.000
7.328 1.656 0.000
-1.686 0.000 6.528
Ce Dy Hf N
1 2 3 6
direct
0.000 0.000 0.000
0.333 0.333 0.666
0.667 0.667 0.334
0.000 0.000 0.500
0.332 0.332 0.167
0.668 0.668 0.833
0.162 0.162 0.597
0.175 0.175 0.070
0.494 0.494 0.270
0.506 0.506 0.730
0.825 0.825 0.930
0.838 0.838 0.403
```

Space-group type: C2/m (12)
E_form (uncorrected) in meV per atom: -1754

Number 1: energy -39.0 eV per cell, M_tot 0.05 μB/f.u.. Number 2: energy -116.0 eV per cell, M_tot 0.00 μB/f.u..